1.
Below is a relaxed InHg3 crystal, with properties calculated at the PBE-GGA level.

a b c (Å): 5.226 6.430 6.346
angles (deg): 90.00 90.00 90.00
Space group Pmmn (No. 59, origin choice 2)
Inequivalent atoms, fractional coordinates:
In 0.250 0.250 0.155
Hg 0.250 0.002 0.645
Hg 0.250 0.750 0.140

Values from the calculation:
Energy of formation from the pure elements   1 kJ/mol of formula units
Spin magnetization   0.00 μB/f.u.

2.
Below is a relaxed CaMn2Ru crystal, with properties calculated at the PBE-GGA level.

a b c (Å): 7.503 7.503 5.752
angles (deg): 90.00 90.00 90.00
Space group I-42d (No. 122)
Inequivalent atoms, fractional coordinates:
Ca 0.000 0.000 0.000
Mn 0.183 0.250 0.625
Ru 0.000 0.000 0.500

Values from the calculation:
E above lowest polymorph   31.0 kJ per mole of atoms
Energy of formation from the pure elements   247 kJ/mol of formula units
Spin magnetization   7.74 μB/f.u.

3.
Below is a relaxed YNi3P2 crystal, with properties calculated at the PBE-GGA level.

a b c (Å): 9.1966 9.1966 3.4610
angles (deg): 90.00 90.00 120.00
Space group P6/mmm (No. 191)
Inequivalent atoms, fractional coordinates:
Y 0.0000 0.0000 0.0000
Y 0.3333 0.6667 0.5000
Ni 0.0000 0.5000 0.0000
Ni 0.1768 0.3536 0.0000
P 0.0000 0.3321 0.5000

Values from the calculation:
E above lowest polymorph   29.9 kJ per mole of atoms
Energy of formation from the pure elements   -357 kJ/mol of formula units
Spin magnetization   0.12 μB/f.u.

4.
Below is a relaxed Tl3HgBi2 crystal, with properties calculated at the PBE-GGA level.

a b c (Å): 3.426 3.426 16.558
angles (deg): 90.00 90.00 90.00
Space group P4/mmm (No. 123)
Inequivalent atoms, fractional coordinates:
Tl 0.000 0.000 0.000
Tl 0.000 0.000 0.325
Hg 0.500 0.500 0.500
Bi 0.500 0.500 0.169

Values from the calculation:
E above lowest polymorph   0.0 kJ per mole of atoms
Energy of formation from the pure elements   -14 kJ/mol of formula units
Spin magnetization   0.00 μB/f.u.

5.
Below is a relaxed CeSiNi2Ge2 crystal, with properties calculated at the PBE-GGA level.

a b c (Å): 4.310 4.310 5.641
angles (deg): 90.00 90.00 90.00
Space group P4/mmm (No. 123)
Inequivalent atoms, fractional coordinates:
Ce 0.000 0.000 0.000
Si 0.000 0.000 0.500
Ni 0.000 0.500 0.500
Ge 0.500 0.500 0.233

Values from the calculation:
Spin magnetization   0.93 μB/f.u.
Raw formation energy   -0.31 eV/atom

6.
Below is a relaxed FeNiPt5 crystal, with properties calculated at the PBE-GGA level.

a b c (Å): 7.931 7.953 4.638
angles (deg): 90.00 90.00 90.00
Space group Imm2 (No. 44)
Inequivalent atoms, fractional coordinates:
Fe 0.000 0.000 0.000
Ni 0.000 0.500 0.247
Pt 0.000 0.000 0.500
Pt 0.000 0.279 0.782
Pt 0.221 0.500 0.717

Values from the calculation:
E above lowest polymorph   79.1 kJ per mole of atoms
Energy of formation from the pure elements   529 kJ/mol of formula units
Spin magnetization   3.53 μB/f.u.

7.
Below is a relaxed BaNpAg2Br8 crystal, with properties calculated at the PBE-GGA level.

a b c (Å): 6.981 7.515 9.388
angles (deg): 71.09 89.83 79.65
Space group P-1 (No. 2)
Inequivalent atoms, fractional coordinates:
Ba 0.000 0.000 0.000
Np 0.000 0.000 0.500
Ag 0.493 0.336 0.188
Br 0.104 0.245 0.222
Br 0.130 0.212 0.660
Br 0.362 0.765 0.532
Br 0.429 0.734 0.069

Values from the calculation:
Spin magnetization   3.00 μB/f.u.
Raw formation energy   -1.15 eV/atom

8.
Below is a relaxed BeCu2SnHg crystal, with properties calculated at the PBE-GGA level.

a b c (Å): 4.993 4.993 4.559
angles (deg): 90.00 90.00 90.00
Space group P4/mmm (No. 123)
Inequivalent atoms, fractional coordinates:
Be 0.000 0.000 0.000
Cu 0.000 0.500 0.500
Sn 0.000 0.000 0.500
Hg 0.500 0.500 0.000

Values from the calculation:
Energy of formation from the pure elements   341 kJ/mol of formula units
Spin magnetization   0.00 μB/f.u.

9.
Below is a relaxed BaCa2ZnAu crystal, with properties calculated at the PBE-GGA level.

a b c (Å): 5.766 5.766 5.162
angles (deg): 90.00 90.00 90.00
Space group P4/mmm (No. 123)
Inequivalent atoms, fractional coordinates:
Ba 0.000 0.000 0.000
Ca 0.000 0.500 0.500
Zn 0.500 0.500 0.000
Au 0.500 0.500 0.500

Values from the calculation:
Energy of formation from the pure elements   -114 kJ/mol of formula units
Spin magnetization   0.00 μB/f.u.

10.
Below is a relaxed NaTl7Hg2 crystal, with properties calculated at the PBE-GGA level.

a b c (Å): 10.358 18.617 3.393
angles (deg): 90.00 90.00 90.00
Space group Cmmm (No. 65)
Inequivalent atoms, fractional coordinates:
Na 0.000 0.000 0.000
Tl 0.000 0.182 0.000
Tl 0.000 0.500 0.500
Tl 0.237 0.096 0.500
Hg 0.000 0.324 0.500

Values from the calculation:
Energy of formation from the pure elements   53 kJ/mol of formula units
Spin magnetization   0.00 μB/f.u.

11.
Below is a relaxed RbTiRh3 crystal, with properties calculated at the PBE-GGA level.

a b c (Å): 4.744 4.744 4.744
angles (deg): 90.00 90.00 90.00
Space group Pm-3m (No. 221)
Inequivalent atoms, fractional coordinates:
Rb 0.000 0.000 0.000
Ti 0.500 0.500 0.500
Rh 0.000 0.000 0.500

Values from the calculation:
E above lowest polymorph   152.4 kJ per mole of atoms
Energy of formation from the pure elements   1036 kJ/mol of formula units
Spin magnetization   0.00 μB/f.u.

12.
Below is a relaxed Nb2CoCuH crystal, with properties calculated at the PBE-GGA level.

a b c (Å): 4.026 4.026 3.802
angles (deg): 90.00 90.00 90.00
Space group P4/mmm (No. 123)
Inequivalent atoms, fractional coordinates:
Nb 0.000 0.500 0.000
Co 0.000 0.000 0.500
Cu 0.500 0.500 0.500
H 0.500 0.500 0.000

Values from the calculation:
E above lowest polymorph   4.2 kJ per mole of atoms
Spin magnetization   0.81 μB/f.u.

13.
Below is a relaxed SrBPdRh2 crystal, with properties calculated at the PBE-GGA level.

a b c (Å): 4.281 4.281 4.377
angles (deg): 90.00 90.00 90.00
Space group P4/mmm (No. 123)
Inequivalent atoms, fractional coordinates:
Sr 0.000 0.000 0.000
B 0.500 0.500 0.500
Pd 0.500 0.500 0.000
Rh 0.000 0.500 0.500

Values from the calculation:
Energy of formation from the pure elements   -185 kJ/mol of formula units
Spin magnetization   0.00 μB/f.u.

14.
Below is a relaxed AcMgGe2Pt crystal, with properties calculated at the PBE-GGA level.

a b c (Å): 4.385 4.605 11.057
angles (deg): 90.00 90.00 90.00
Space group Imm2 (No. 44)
Inequivalent atoms, fractional coordinates:
Ac 0.000 0.000 0.000
Mg 0.000 0.500 0.761
Ge 0.000 0.000 0.421
Ge 0.000 0.500 0.258
Pt 0.000 0.000 0.647

Values from the calculation:
Energy of formation from the pure elements   -365 kJ/mol of formula units
Spin magnetization   0.00 μB/f.u.

15.
Below is a relaxed NaAs2Se crystal, with properties calculated at the PBE-GGA level.

a b c (Å): 7.417 7.417 7.937
angles (deg): 90.00 90.00 90.00
Space group I-42d (No. 122)
Inequivalent atoms, fractional coordinates:
Na 0.000 0.000 0.000
As 0.191 0.750 0.625
Se 0.000 0.000 0.500

Values from the calculation:
Spin magnetization   0.00 μB/f.u.
Raw formation energy   0.21 eV/atom

16.
Below is a relaxed InHgTe2 crystal, with properties calculated at the PBE-GGA level.

a b c (Å): 4.006 4.916 12.246
angles (deg): 90.00 90.00 90.00
Space group Cmm2 (No. 35)
Inequivalent atoms, fractional coordinates:
In 0.000 0.000 0.000
Hg 0.000 0.500 0.770
Te 0.000 0.000 0.534
Te 0.000 0.500 0.225

Values from the calculation:
Spin magnetization   0.00 μB/f.u.
Raw formation energy   0.06 eV/atom

17.
Below is a relaxed K3UTi2O8 crystal, with properties calculated at the PBE-GGA level.

a b c (Å): 6.0703 6.0703 7.7111
angles (deg): 90.00 90.00 120.00
Space group P-3m1 (No. 164)
Inequivalent atoms, fractional coordinates:
K 0.0000 0.0000 0.0000
K 0.3333 0.6667 0.6962
U 0.0000 0.0000 0.5000
Ti 0.3333 0.6667 0.2468
O 0.1662 0.3324 0.3354
O 0.3333 0.6667 0.0249

Values from the calculation:
Spin magnetization   1.00 μB/f.u.
Raw formation energy   -2.73 eV/atom

18.
Below is a relaxed RhAuS2 crystal, with properties calculated at the PBE-GGA level.

a b c (Å): 4.581 3.576 9.373
angles (deg): 90.00 100.77 90.00
Space group P2_1/m (No. 11)
Inequivalent atoms, fractional coordinates:
Rh 0.203 0.250 0.380
Au 0.395 0.250 0.879
S 0.135 0.750 0.205
S 0.271 0.750 0.552

Values from the calculation:
Spin magnetization   0.00 μB/f.u.
Raw formation energy   -0.22 eV/atom

19.
Below is a relaxed CeZr3 crystal, with properties calculated at the PBE-GGA level.

a b c (Å): 4.605 4.605 4.605
angles (deg): 90.00 90.00 90.00
Space group Pm-3m (No. 221)
Inequivalent atoms, fractional coordinates:
Ce 0.000 0.000 0.000
Zr 0.000 0.500 0.500

Values from the calculation:
E above lowest polymorph   2.8 kJ per mole of atoms
Energy of formation from the pure elements   44 kJ/mol of formula units
Spin magnetization   0.00 μB/f.u.

20.
Below is a relaxed Ce8Tl3Sb2 crystal, with properties calculated at the PBE-GGA level.

a b c (Å): 11.993 11.322 5.869
angles (deg): 90.00 109.96 90.00
Space group C2/m (No. 12)
Inequivalent atoms, fractional coordinates:
Ce 0.090 0.000 0.320
Ce 0.172 0.254 0.123
Ce 0.172 0.500 0.554
Tl 0.000 0.260 0.500
Tl 0.000 0.500 0.000
Sb 0.195 0.000 0.881

Values from the calculation:
Spin magnetization   5.52 μB/f.u.
Raw formation energy   -0.29 eV/atom

21.
Below is a relaxed Sc4PS3 crystal, with properties calculated at the PBE-GGA level.

a b c (Å): 7.450 10.491 3.698
angles (deg): 90.00 90.00 90.00
Space group Cmmm (No. 65)
Inequivalent atoms, fractional coordinates:
Sc 0.000 0.244 0.000
Sc 0.241 0.000 0.500
P 0.000 0.000 0.000
S 0.000 0.500 0.000
S 0.250 0.250 0.500

Values from the calculation:
Spin magnetization   0.00 μB/f.u.
Raw formation energy   -1.82 eV/atom

22.
Below is a relaxed SrLa3Ir crystal, with properties calculated at the PBE-GGA level.

a b c (Å): 6.716 7.351 7.279
angles (deg): 90.00 90.87 90.00
Space group P2_1/m (No. 11)
Inequivalent atoms, fractional coordinates:
Sr 0.104 0.250 0.382
La 0.100 0.750 0.120
La 0.416 0.003 0.747
Ir 0.330 0.750 0.447

Values from the calculation:
E above lowest polymorph   3.5 kJ per mole of atoms
Energy of formation from the pure elements   -138 kJ/mol of formula units
Spin magnetization   0.00 μB/f.u.

23.
Below is a relaxed Ca5TlHg2 crystal, with properties calculated at the PBE-GGA level.

a b c (Å): 8.297 8.297 14.741
angles (deg): 90.00 90.00 90.00
Space group I4/mcm (No. 140)
Inequivalent atoms, fractional coordinates:
Ca 0.000 0.000 0.000
Ca 0.166 0.334 0.147
Tl 0.000 0.000 0.250
Hg 0.133 0.367 0.500

Values from the calculation:
Energy of formation from the pure elements   -322 kJ/mol of formula units
Spin magnetization   0.00 μB/f.u.

24.
Below is a relaxed Tl12CdPb7 crystal, with properties calculated at the PBE-GGA level.

a b c (Å): 12.9469 12.9469 14.0554
angles (deg): 90.00 90.00 120.00
Space group R-3m (No. 166, hexagonal axes)
Inequivalent atoms, fractional coordinates:
Tl 0.0059 0.5029 0.2384
Tl 0.0984 0.1968 0.8363
Cd 0.0000 0.0000 0.5000
Pb 0.0000 0.0000 0.0000
Pb 0.0938 0.1876 0.3378

Values from the calculation:
E above lowest polymorph   6.7 kJ per mole of atoms
Energy of formation from the pure elements   178 kJ/mol of formula units
Spin magnetization   0.00 μB/f.u.

Number 1: calculated total energy -7.26 eV for the cell shown. Number 2: calculated total energy -108.21 eV for the cell shown. Number 3: calculated total energy -114.99 eV for the cell shown. Number 4: calculated total energy -15.30 eV for the cell shown. Number 5: calculated total energy -34.04 eV for the cell shown. Number 6: calculated total energy -77.93 eV for the cell shown. Number 7: calculated total energy -47.80 eV for the cell shown. Number 8: calculated total energy -12.69 eV for the cell shown. Number 9: calculated total energy -11.66 eV for the cell shown. Number 10: calculated total energy -35.87 eV for the cell shown. Number 11: calculated total energy -20.18 eV for the cell shown. Number 12: calculated total energy -34.64 eV for the cell shown. Number 13: calculated total energy -30.17 eV for the cell shown. Number 14: calculated total energy -49.53 eV for the cell shown. Number 15: calculated total energy -52.99 eV for the cell shown. Number 16: calculated total energy -18.19 eV for the cell shown. Number 17: calculated total energy -108.19 eV for the cell shown. Number 18: calculated total energy -39.49 eV for the cell shown. Number 19: calculated total energy -31.12 eV for the cell shown. Number 20: calculated total energy -133.26 eV for the cell shown. Number 21: calculated total energy -115.33 eV for the cell shown. Number 22: calculated total energy -53.51 eV for the cell shown. Number 23: calculated total energy -65.25 eV for the cell shown. Number 24: calculated total energy -160.26 eV for the cell shown.